Record 1
PBE PuZrSe4, optimized geometry; E = -7.201 eV/atom; SG = P2_1/c; mass density = 6.771 Mg/m³; E_form (uncorrected) = -1.065 eV/atom
1.0
6.861 0.000 -0.364
0.000 6.805 0.000
-0.467 0.000 6.864
Se Zr Pu
8 2 2
Direct
0.305 0.329 0.340 Se
0.195 0.829 0.660 Se
0.637 0.161 0.837 Se
0.805 0.171 0.340 Se
0.363 0.839 0.163 Se
0.695 0.671 0.660 Se
0.863 0.661 0.163 Se
0.137 0.339 0.837 Se
0.000 0.500 0.500 Zr
0.500 0.000 0.500 Zr
0.000 0.000 0.000 Pu
0.500 0.500 0.000 Pu

Record 2
PBE Tm6HgTe5, optimized geometry; E = -4.667 eV/atom; SG = C2/m; mass density = 9.004 Mg/m³; E_form (uncorrected) = -1.097 eV/atom
1.0
7.374 0.180 1.120
1.808 6.286 3.663
0.121 0.077 7.480
Te Tm Hg
5 6 1
Direct
0.500 0.500 0.000 Te
0.000 0.336 0.327 Te
0.000 0.664 0.673 Te
0.500 0.823 0.353 Te
0.500 0.177 0.647 Te
0.755 0.769 0.000 Tm
0.765 0.393 0.684 Tm
0.765 0.077 0.316 Tm
0.235 0.607 0.316 Tm
0.245 0.231 0.000 Tm
0.235 0.923 0.684 Tm
0.000 0.000 0.000 Hg

Record 3
PBE ErThTlIr, optimized geometry; formation energy = -0.57 eV per atom; E = -6.370 eV/atom; SG = R3m; mass density = 11.488 Mg/m³
1.0
4.080 0.001 0.000
-2.038 3.532 0.000
-2.040 -1.177 7.982
Ir Er Th Tl
1 1 1 1
Direct
0.299 0.548 0.863 Ir
0.507 0.151 0.674 Er
0.094 0.945 0.055 Th
0.977 0.387 0.378 Tl

Record 4
PBE KGaBr2, optimized geometry; E = -2.975 eV/atom; SG = R3m; mass density = 3.204 Mg/m³; E_form (uncorrected) = -1.107 eV/atom
1.0
-0.558 -4.328 1.184
1.795 -3.286 -2.534
7.011 -2.223 3.814
Ga Br K
1 2 1
Direct
0.667 0.667 0.998 Ga
0.079 0.079 0.764 Br
0.255 0.255 0.236 Br
0.499 0.499 0.502 K

Record 5
PBE Al2TlAsP, optimized geometry; formation energy = 0.57 eV per atom; E = -3.416 eV/atom; SG = P4/mmm; mass density = 4.989 Mg/m³
1.0
-4.489 -1.818 -1.290
2.040 -2.181 -4.026
0.866 -3.977 2.593
Al P As Tl
2 1 1 1
Direct
0.000 0.500 0.000 Al
0.500 0.000 0.000 Al
0.000 0.000 0.500 P
0.000 0.000 0.000 As
0.500 0.500 0.500 Tl

Record 6
PBE Tb5Y12Ho2, optimized geometry; formation energy = 0.02 eV per atom; E = -5.763 eV/atom; SG = P-1; mass density = 5.993 Mg/m³
1.0
5.838 1.972 -0.349
-1.838 6.790 -10.727
1.204 -3.358 19.470
Ho Tb Y
2 5 12
Direct
0.264 0.896 0.974 Ho
0.736 0.104 0.026 Ho
0.422 0.633 0.659 Tb
0.843 0.264 0.816 Tb
0.157 0.736 0.184 Tb
0.578 0.367 0.341 Tb
0.000 0.000 0.500 Tb
0.473 0.211 0.553 Y
0.051 0.577 0.393 Y
0.632 0.948 0.237 Y
0.527 0.789 0.447 Y
0.789 0.686 0.922 Y
0.685 0.526 0.131 Y
0.894 0.841 0.710 Y
0.211 0.314 0.078 Y
0.315 0.474 0.869 Y
0.949 0.423 0.607 Y
0.368 0.052 0.763 Y
0.106 0.159 0.290 Y

Record 7
PBE Nd3DyHg4, optimized geometry; formation energy = -0.47 eV per atom; E = -2.987 eV/atom; SG = P4/mmm; mass density = 10.496 Mg/m³
1.0
-2.678 2.400 -1.206
-2.268 -1.107 2.832
5.833 11.022 8.980
Nd Hg Dy
3 4 1
Direct
0.500 0.500 0.246 Nd
0.500 0.500 0.500 Nd
0.500 0.500 0.754 Nd
0.000 0.000 0.885 Hg
0.000 0.000 0.115 Hg
0.000 0.000 0.374 Hg
0.000 0.000 0.626 Hg
0.500 0.500 0.000 Dy

Record 8
PBE BeInCo2I, optimized geometry; E = -3.453 eV/atom; SG = P4/mmm; mass density = 6.515 Mg/m³; E_form (uncorrected) = 0.992 eV/atom
1.0
-2.723 -2.179 -2.601
3.249 0.394 -3.732
1.845 -3.749 1.211
Be Co I In
1 2 1 1
Direct
0.000 0.000 0.000 Be
0.500 0.000 0.000 Co
0.000 0.000 0.500 Co
0.000 0.500 0.000 I
0.500 0.500 0.500 In

What did the fourth record say?
PBE KGaBr2, optimized geometry; E = -2.975 eV/atom; SG = R3m; mass density = 3.204 Mg/m³; E_form (uncorrected) = -1.107 eV/atom
1.0
-0.558 -4.328 1.184
1.795 -3.286 -2.534
7.011 -2.223 3.814
Ga Br K
1 2 1
Direct
0.667 0.667 0.998 Ga
0.079 0.079 0.764 Br
0.255 0.255 0.236 Br
0.499 0.499 0.502 K